# 1
A plane-wave DFT calculation with PBEsol was carried out for crystalline AgOsW2F at its relaxed geometry.

Structure (extended XYZ):
```
5
Lattice="4.8691 0.0000 0.0000 0.0000 4.8691 0.0000 0.0000 0.0000 3.6264" Properties=species:S:1:pos:R:3 pbc="T T T"
Ag 0.0000 0.0000 0.0000
Os 2.4345 2.4345 1.8132
W 0.0000 2.4345 0.0000
W 2.4345 0.0000 0.0000
F 0.0000 0.0000 1.8132
```

Output
Space group: P4/mmm (123)
N(E_F) (states/eV/cell): 5.890
Final energy (eV per atom): -6.8005
Uncorrected formation energy (eV/atom): 2.2134


# 2
A plane-wave DFT calculation with PBEsol was carried out for crystalline AgPS2F at its relaxed geometry.

Structure (extended XYZ):
```
5
Lattice="4.6639 0.0000 0.0000 0.0000 4.6639 0.0000 0.0000 0.0000 4.8275" Properties=species:S:1:pos:R:3 pbc="T T T"
Ag 0.0000 0.0000 0.0000
P 0.0000 0.0000 2.4137
S 0.0000 2.3320 0.0000
S 2.3320 0.0000 0.0000
F 2.3320 2.3320 2.4137
```

Output
Space group: P4/mmm (123)
N(E_F) (states/eV/cell): 7.298
Final energy (eV per atom): -2.9881
Uncorrected formation energy (eV/atom): 0.9715